# Nb3OsRu PBE optimized geometry
data_Nb3OsRu
_chemical_formula_sum 'Nb12 Os4 Ru4'
_cell_length_a 6.262
_cell_length_b 8.058
_cell_length_c 8.058
_cell_angle_alpha 70.08
_cell_angle_beta 90.07
_cell_angle_gamma 90.07
_space_group_name_H-M_alt 'P 1'
_space_group_IT_number 1
loop_
_space_group_symop_operation_xyz
'x,y,z'
loop_
_atom_site_label
_atom_site_fract_x
_atom_site_fract_y
_atom_site_fract_z
Nb1 0.495 0.288 0.958
Nb2 0.005 0.042 0.712
Nb3 0.505 0.712 0.042
Nb4 0.995 0.958 0.288
Nb5 0.995 0.712 0.041
Nb6 0.505 0.959 0.288
Nb7 0.005 0.288 0.959
Nb8 0.495 0.041 0.712
Nb9 0.500 0.383 0.383
Nb10 0.000 0.617 0.617
Nb11 0.500 0.617 0.617
Nb12 0.000 0.383 0.383
Os1 0.250 0.000 0.000
Os2 0.750 0.000 0.000
Os3 0.250 0.669 0.331
Os4 0.750 0.331 0.669
Ru1 0.749 0.435 0.124
Ru2 0.751 0.876 0.565
Ru3 0.251 0.565 0.876
Ru4 0.249 0.124 0.435
# Excess energy over the best structure of this formula in the dataset, meV/atom: 0
# Space group: C2/c, No. 15
# Energy relative to the elements, eV per atom: 0.234
# Total moment, μB/f.u.: 0.00



# Nb2Os3Ru3 PBE optimized geometry
data_Nb2Os3Ru3
_chemical_formula_sum 'Nb2 Os3 Ru3'
_cell_length_a 3.919
_cell_length_b 3.928
_cell_length_c 7.817
_cell_angle_alpha 90.00
_cell_angle_beta 90.00
_cell_angle_gamma 90.00
_space_group_name_H-M_alt 'P 1'
_space_group_IT_number 1
loop_
_space_group_symop_operation_xyz
'x,y,z'
loop_
_atom_site_label
_atom_site_fract_x
_atom_site_fract_y
_atom_site_fract_z
Nb1 0.000 0.000 0.251
Nb2 0.000 0.000 0.749
Os1 0.500 0.500 0.249
Os2 0.500 0.500 0.751
Os3 0.000 0.500 0.000
Ru1 0.000 0.500 0.500
Ru2 0.500 0.000 0.000
Ru3 0.500 0.000 0.500
# Space group: Pmmm, No. 47
# Energy relative to the elements, eV per atom: -0.099
# Total moment, μB/f.u.: 0.00



# Nb3OsRu2 PBE optimized geometry
data_Nb3OsRu2
_chemical_formula_sum 'Nb6 Os2 Ru4'
_cell_length_a 4.341
_cell_length_b 6.871
_cell_length_c 6.863
_cell_angle_alpha 89.99
_cell_angle_beta 89.98
_cell_angle_gamma 71.58
_space_group_name_H-M_alt 'P 1'
_space_group_IT_number 1
loop_
_space_group_symop_operation_xyz
'x,y,z'
loop_
_atom_site_label
_atom_site_fract_x
_atom_site_fract_y
_atom_site_fract_z
Nb1 0.833 0.334 0.750
Nb2 0.499 0.000 0.251
Nb3 0.167 0.666 0.250
Nb4 0.832 0.334 0.250
Nb5 0.168 0.666 0.750
Nb6 0.501 0.000 0.749
Os1 0.335 0.330 0.000
Os2 0.665 0.670 0.000
Ru1 0.000 0.000 0.000
Ru2 0.000 0.000 0.500
Ru3 0.333 0.334 0.500
Ru4 0.667 0.666 0.500
# Excess energy over the best structure of this formula in the dataset, meV/atom: 12
# Space group: Cmmm, No. 65
# Energy relative to the elements, eV per atom: -0.171
# Total moment, μB/f.u.: 0.00



# Nb2Os2Ru PBE optimized geometry
data_Nb2Os2Ru
_chemical_formula_sum 'Nb4 Os4 Ru2'
_cell_length_a 7.321
_cell_length_b 7.321
_cell_length_c 3.098
_cell_angle_alpha 90.00
_cell_angle_beta 90.00
_cell_angle_gamma 90.00
_space_group_name_H-M_alt 'P 1'
_space_group_IT_number 1
loop_
_space_group_symop_operation_xyz
'x,y,z'
loop_
_atom_site_label
_atom_site_fract_x
_atom_site_fract_y
_atom_site_fract_z
Ru1 0.000 0.000 0.000
Ru2 0.500 0.500 0.000
Nb1 0.169 0.669 0.500
Nb2 0.669 0.831 0.500
Nb3 0.831 0.331 0.500
Nb4 0.331 0.169 0.500
Os1 0.368 0.868 0.000
Os2 0.868 0.632 0.000
Os3 0.632 0.132 0.000
Os4 0.132 0.368 0.000
# Space group: P4/mbm, No. 127
# Energy relative to the elements, eV per atom: 0.157
# Total moment, μB/f.u.: 0.00



# NbOsRu PBE optimized geometry
data_NbOsRu
_chemical_formula_sum 'Nb2 Os2 Ru2'
_cell_length_a 4.393
_cell_length_b 5.294
_cell_length_c 5.294
_cell_angle_alpha 61.88
_cell_angle_beta 65.14
_cell_angle_gamma 65.14
_space_group_name_H-M_alt 'P 1'
_space_group_IT_number 1
loop_
_space_group_symop_operation_xyz
'x,y,z'
loop_
_atom_site_label
_atom_site_fract_x
_atom_site_fract_y
_atom_site_fract_z
Nb1 0.032 0.454 0.419
Nb2 0.316 0.667 0.633
Os1 0.995 0.990 0.956
Os2 0.352 0.131 0.096
Ru1 0.674 0.060 0.526
Ru2 0.674 0.560 0.026
# Excess energy over the best structure of this formula in the dataset, meV/atom: 126
# Space group: C2/m, No. 12
# Energy relative to the elements, eV per atom: 0.060
# Total moment, μB/f.u.: 0.00



# NbOs2Ru PBE optimized geometry
data_NbOs2Ru
_chemical_formula_sum 'Nb1 Os2 Ru1'
_cell_length_a 2.787
_cell_length_b 5.271
_cell_length_c 5.271
_cell_angle_alpha 54.46
_cell_angle_beta 74.67
_cell_angle_gamma 74.67
_space_group_name_H-M_alt 'P 1'
_space_group_IT_number 1
loop_
_space_group_symop_operation_xyz
'x,y,z'
loop_
_atom_site_label
_atom_site_fract_x
_atom_site_fract_y
_atom_site_fract_z
Nb1 0.250 0.162 0.338
Os1 0.004 0.082 0.909
Os2 0.496 0.591 0.418
Ru1 0.750 0.665 0.835
# Excess energy over the best structure of this formula in the dataset, meV/atom: 17
# Space group: Imm2, No. 44
# Energy relative to the elements, eV per atom: -0.098
# Total moment, μB/f.u.: 0.00



# NbOs4Ru PBE optimized geometry
data_NbOs4Ru
_chemical_formula_sum 'Nb2 Os8 Ru2'
_cell_length_a 6.560
_cell_length_b 6.560
_cell_length_c 7.037
_cell_angle_alpha 119.89
_cell_angle_beta 119.89
_cell_angle_gamma 101.82
_space_group_name_H-M_alt 'P 1'
_space_group_IT_number 1
loop_
_space_group_symop_operation_xyz
'x,y,z'
loop_
_atom_site_label
_atom_site_fract_x
_atom_site_fract_y
_atom_site_fract_z
Nb1 0.076 0.924 0.750
Nb2 0.924 0.076 0.250
Os1 0.265 0.399 0.254
Os2 0.643 0.995 0.722
Os3 0.601 0.735 0.246
Os4 0.005 0.357 0.778
Os5 0.995 0.643 0.222
Os6 0.399 0.265 0.754
Os7 0.357 0.005 0.278
Os8 0.735 0.601 0.746
Ru1 0.662 0.338 0.250
Ru2 0.338 0.662 0.750
# Space group: C2/c, No. 15
# Energy relative to the elements, eV per atom: 0.128
# Total moment, μB/f.u.: 0.00



# Nb6Os2Ru PBE optimized geometry
data_Nb6Os2Ru
_chemical_formula_sum 'Nb6 Os2 Ru1'
_cell_length_a 4.394
_cell_length_b 6.154
_cell_length_c 7.591
_cell_angle_alpha 113.91
_cell_angle_beta 106.76
_cell_angle_gamma 90.00
_space_group_name_H-M_alt 'P 1'
_space_group_IT_number 1
loop_
_space_group_symop_operation_xyz
'x,y,z'
loop_
_atom_site_label
_atom_site_fract_x
_atom_site_fract_y
_atom_site_fract_z
Nb1 0.167 0.417 0.333
Nb2 0.833 0.084 0.667
Nb3 0.833 0.583 0.667
Nb4 0.500 0.249 0.000
Nb5 0.167 0.916 0.333
Nb6 0.500 0.751 0.000
Os1 0.666 0.666 0.333
Os2 0.334 0.334 0.667
Ru1 0.000 0.000 0.000
# Space group: C2/m, No. 12
# Energy relative to the elements, eV per atom: 0.208
# Total moment, μB/f.u.: 0.00



# Nb2Os2Ru3 PBE optimized geometry
data_Nb2Os2Ru3
_chemical_formula_sum 'Nb2 Os2 Ru3'
_cell_length_a 4.784
_cell_length_b 4.870
_cell_length_c 6.217
_cell_angle_alpha 49.65
_cell_angle_beta 76.18
_cell_angle_gamma 81.23
_space_group_name_H-M_alt 'P 1'
_space_group_IT_number 1
loop_
_space_group_symop_operation_xyz
'x,y,z'
loop_
_atom_site_label
_atom_site_fract_x
_atom_site_fract_y
_atom_site_fract_z
Nb1 0.427 0.121 0.172
Nb2 0.573 0.879 0.828
Os1 0.129 0.694 0.722
Os2 0.871 0.306 0.278
Ru1 0.000 0.000 0.000
Ru2 0.271 0.433 0.436
Ru3 0.729 0.567 0.564
# Space group: P-1, No. 2
# Energy relative to the elements, eV per atom: -0.028
# Total moment, μB/f.u.: 0.00



# Nb3OsRu2 PBE optimized geometry
data_Nb3OsRu2
_chemical_formula_sum 'Nb3 Os1 Ru2'
_cell_length_a 3.066
_cell_length_b 3.066
_cell_length_c 10.312
_cell_angle_alpha 90.00
_cell_angle_beta 90.00
_cell_angle_gamma 90.00
_space_group_name_H-M_alt 'P 1'
_space_group_IT_number 1
loop_
_space_group_symop_operation_xyz
'x,y,z'
loop_
_atom_site_label
_atom_site_fract_x
_atom_site_fract_y
_atom_site_fract_z
Nb1 0.000 0.000 0.000
Nb2 0.000 0.000 0.667
Nb3 0.000 0.000 0.333
Os1 0.500 0.500 0.500
Ru1 0.500 0.500 0.831
Ru2 0.500 0.500 0.169
# Excess energy over the best structure of this formula in the dataset, meV/atom: 0
# Space group: P4/mmm, No. 123
# Energy relative to the elements, eV per atom: -0.183
# Total moment, μB/f.u.: 0.00



# Nb6OsRu PBE optimized geometry
data_Nb6OsRu
_chemical_formula_sum 'Nb6 Os1 Ru1'
_cell_length_a 7.314
_cell_length_b 7.314
_cell_length_c 5.168
_cell_angle_alpha 45.02
_cell_angle_beta 45.00
_cell_angle_gamma 60.02
_space_group_name_H-M_alt 'P 1'
_space_group_IT_number 1
loop_
_space_group_symop_operation_xyz
'x,y,z'
loop_
_atom_site_label
_atom_site_fract_x
_atom_site_fract_y
_atom_site_fract_z
Nb1 0.000 0.500 0.750
Nb2 0.750 0.000 0.750
Nb3 0.500 0.250 0.250
Nb4 0.250 0.000 0.250
Nb5 0.000 0.500 0.250
Nb6 0.500 0.750 0.750
Os1 0.000 0.000 0.000
Ru1 0.500 0.500 0.500
# Space group: Pm-3, No. 200
# Energy relative to the elements, eV per atom: -0.241
# Total moment, μB/f.u.: 0.00



# NbOs2Ru PBE optimized geometry
data_NbOs2Ru
_chemical_formula_sum 'Nb2 Os4 Ru2'
_cell_length_a 5.541
_cell_length_b 5.280
_cell_length_c 4.857
_cell_angle_alpha 62.85
_cell_angle_beta 90.20
_cell_angle_gamma 105.16
_space_group_name_H-M_alt 'P 1'
_space_group_IT_number 1
loop_
_space_group_symop_operation_xyz
'x,y,z'
loop_
_atom_site_label
_atom_site_fract_x
_atom_site_fract_y
_atom_site_fract_z
Nb1 0.526 0.147 0.295
Nb2 0.134 0.599 0.763
Os1 0.020 0.122 0.325
Os2 0.899 0.644 0.235
Os3 0.641 0.628 0.734
Os4 0.395 0.621 0.245
Ru1 0.265 0.122 0.819
Ru2 0.761 0.106 0.826
# Excess energy over the best structure of this formula in the dataset, meV/atom: 0
# Space group: P1, No. 1
# Energy relative to the elements, eV per atom: -0.115
# Total moment, μB/f.u.: 0.00